Record 1
Density functional theory data (PBE with a Hubbard U) for KFe3C4O12 after structural relaxation.

Values from the calculation:
- Total moment: 0.650 μB per atom
- Space group: No. 155
- Electronic total energy: -143.668 eV/cell

a b c (Å): 6.2457 6.2457 6.2457
angles (deg): 102.11 102.11 102.11
Positions (direct):
O1 0.5000 0.0919 0.9081
O2 0.4103 0.9961 0.2102
O3 0.3661 0.6339 0.5000
O4 0.2102 0.4103 0.9961
O5 0.9081 0.5000 0.0919
O6 0.0919 0.9081 0.5000
O7 0.6339 0.5000 0.3661
O8 0.0039 0.5897 0.7898
O9 0.5000 0.3661 0.6339
O10 0.5897 0.7898 0.0039
O11 0.9961 0.2102 0.4103
O12 0.7898 0.0039 0.5897
Fe1 0.0000 0.5445 0.4555
Fe2 0.4555 0.0000 0.5445
Fe3 0.5445 0.4555 0.0000
C1 0.5000 0.9551 0.0449
C2 0.5000 0.5000 0.5000
C3 0.0449 0.5000 0.9551
C4 0.9551 0.0449 0.5000
K1 0.0000 0.0000 0.0000

***

Record 2
Density functional theory data (PBE with a Hubbard U) for K2FeC4O4 after structural relaxation.

Values from the calculation:
- Total moment: 0.008 μB per atom
- Space group: No. 70
- Electronic total energy: -143.142 eV/cell

a b c (Å): 13.1680 12.1590 6.4359
angles (deg): 84.18 66.72 29.09
Positions (direct):
K1 0.1772 0.1772 0.8228
K2 0.0728 0.0728 0.4272
K3 0.8228 0.8228 0.1772
K4 0.4272 0.4272 0.0728
O1 0.4532 0.8986 0.2811
O2 0.2811 0.3671 0.4532
O3 0.3671 0.2811 0.8986
O4 0.9689 0.8829 0.7968
O5 0.8829 0.9689 0.3514
O6 0.8986 0.4532 0.3671
O7 0.3514 0.7968 0.8829
O8 0.7968 0.3514 0.9689
C1 0.1873 0.7253 0.6681
C2 0.5247 0.0627 0.8307
C3 0.7253 0.1873 0.4193
C4 0.5819 0.8307 0.0627
C5 0.4193 0.6681 0.7253
C6 0.8307 0.5819 0.5247
C7 0.6681 0.4193 0.1873
C8 0.0627 0.5247 0.5819
Fe1 0.5000 0.5000 0.5000
Fe2 0.7500 0.7500 0.7500

***

Record 3
Density functional theory data (PBE with a Hubbard U) for K3FePCO7 after structural relaxation.

Values from the calculation:
- Total moment: 0.308 μB per atom
- Space group: No. 11
- Electronic total energy: -167.313 eV/cell

a b c (Å): 5.6998 6.8645 9.7099
angles (deg): 90.00 90.00 90.00
Positions (direct):
O1 0.2595 0.4342 0.3253
O2 0.9507 0.2500 0.8496
O3 0.5577 0.2500 0.8538
O4 0.4423 0.7500 0.1462
O5 0.4229 0.2500 0.5328
O6 0.7602 0.2500 0.0549
O7 0.2398 0.7500 0.9451
O8 0.2595 0.0658 0.3253
O9 0.9823 0.2500 0.4835
O10 0.0493 0.7500 0.1504
O11 0.7405 0.9342 0.6747
O12 0.5771 0.7500 0.4672
O13 0.7405 0.5658 0.6747
O14 0.0177 0.7500 0.5165
P1 0.7674 0.7500 0.5808
P2 0.2326 0.2500 0.4192
K1 0.7435 0.7500 0.9280
K2 0.2446 0.9915 0.7137
K3 0.2565 0.2500 0.0720
K4 0.7554 0.4915 0.2863
K5 0.2446 0.5085 0.7137
K6 0.7554 0.0085 0.2863
Fe1 0.7403 0.2500 0.6504
Fe2 0.2597 0.7500 0.3496
C1 0.7562 0.2500 0.9219
C2 0.2438 0.7500 0.0781